Entry 1:
## LiP2Pt (PBE)

Data for LiP2Pt after structural relaxation.

CIF file:
```
data_LiP2Pt
_cell_length_a 3.0074
_cell_length_b 3.0074
_cell_length_c 6.8451
_cell_angle_alpha 90.00
_cell_angle_beta 90.00
_cell_angle_gamma 98.45
_space_group_name_H-M_alt 'P 1'
_space_group_IT_number 1
_space_group_name_Hall 'P 1'
loop_
_atom_site_label
_atom_site_type_symbol
_atom_site_fract_x
_atom_site_fract_y
_atom_site_fract_z
P1 P 0.0000 0.0000 0.0189
P2 P 0.0000 0.0000 0.4811
Li1 Li 0.5000 0.5000 0.7500
Pt1 Pt 0.5000 0.5000 0.2500
```

## Properties
Energy relative to the lowest polymorph listed for this composition   0.382 eV per atom
Final energy   -19.08 eV/cell
ΔE_f   -0.0771 eV per atom



Entry 2:
## LiP2Pt (PBE)

Data for LiP2Pt after structural relaxation.

CIF file:
```
data_LiP2Pt
_cell_length_a 3.3931
_cell_length_b 3.3931
_cell_length_c 4.8628
_cell_angle_alpha 90.00
_cell_angle_beta 90.00
_cell_angle_gamma 90.00
_space_group_name_H-M_alt 'P 1'
_space_group_IT_number 1
_space_group_name_Hall 'P 1'
loop_
_atom_site_label
_atom_site_type_symbol
_atom_site_fract_x
_atom_site_fract_y
_atom_site_fract_z
Li1 Li 0.5000 0.5000 0.7361
P1 P 0.0000 0.0000 0.0146
Pt1 Pt 0.0000 0.0000 0.5280
P2 P 0.5000 0.5000 0.2213
```

## Properties
Energy relative to the lowest polymorph listed for this composition   0.322 eV per atom
Final energy   -19.33 eV/cell
ΔE_f   -0.1377 eV per atom



Entry 3:
## Li2PPt4 (PBE)

Data for Li2PPt4 after structural relaxation.

CIF file:
```
data_Li2PPt4
_cell_length_a 5.3403
_cell_length_b 6.5642
_cell_length_c 6.7477
_cell_angle_alpha 60.90
_cell_angle_beta 90.06
_cell_angle_gamma 90.00
_space_group_name_H-M_alt 'P 1'
_space_group_IT_number 1
_space_group_name_Hall 'P 1'
loop_
_atom_site_label
_atom_site_type_symbol
_atom_site_fract_x
_atom_site_fract_y
_atom_site_fract_z
Pt1 Pt 0.5000 0.6460 0.5920
Li1 Li 0.4990 0.2031 0.8315
Li2 Li 0.5010 0.7969 0.1685
Li3 Li 0.9990 0.4654 0.8315
Pt2 Pt 0.0000 0.2620 0.5920
P1 P 0.0000 0.0000 0.0000
P2 P 0.5000 0.5000 0.0000
Pt3 Pt 0.7503 0.1535 0.1934
Pt4 Pt 0.5000 0.3540 0.4080
Pt5 Pt 0.7497 0.8469 0.8066
Pt6 Pt 0.2497 0.8465 0.8066
Pt7 Pt 0.2503 0.1531 0.1934
Pt8 Pt 0.0000 0.7380 0.4080
Li4 Li 0.0010 0.5346 0.1685
```

## Properties
Energy relative to the lowest polymorph listed for this composition   0.000 eV per atom
Final energy   -73.30 eV/cell
ΔE_f   -0.4641 eV per atom



Entry 4:
## Li3PPt (PBE)

Data for Li3PPt after structural relaxation.

CIF file:
```
data_Li3PPt
_cell_length_a 4.4376
_cell_length_b 4.4376
_cell_length_c 4.4376
_cell_angle_alpha 90.00
_cell_angle_beta 90.00
_cell_angle_gamma 90.00
_space_group_name_H-M_alt 'P 1'
_space_group_IT_number 1
_space_group_name_Hall 'P 1'
loop_
_atom_site_label
_atom_site_type_symbol
_atom_site_fract_x
_atom_site_fract_y
_atom_site_fract_z
Li1 Li 0.0000 0.0000 0.5000
Pt1 Pt 0.5000 0.5000 0.5000
P1 P 0.0000 0.0000 0.0000
Li2 Li 0.5000 0.0000 0.0000
Li3 Li 0.0000 0.5000 0.0000
```

## Properties
Energy relative to the lowest polymorph listed for this composition   0.000 eV per atom
Final energy   -16.78 eV/cell
ΔE_f   0.0833 eV per atom